# Gd2FeSbO7 | Alexandria via LeMat-Bulk | GGA+U | optimized geometry
# raw total energy = -9.054 eV per atom
# spin magnetization = 5.0 μB per formula unit
# ρ = 7.10 g/cm3
# space group = No. 74
data_Gd2FeSbO7
_chemical_formula_sum 'Gd4 Fe2 Sb2 O14'
_space_group_name_H-M_alt 'P 1'
_space_group_IT_number 1
_space_group_name_Hall 'P 1'
_cell_length_a 7.360
_cell_length_b 7.360
_cell_length_c 7.360
_cell_angle_alpha 120.28
_cell_angle_beta 119.45
_cell_angle_gamma 90.23
loop_
_atom_site_label
_atom_site_type_symbol
_atom_site_fract_x
_atom_site_fract_y
_atom_site_fract_z
Gd1 Gd 0.000 0.000 0.500
Gd2 Gd 0.000 0.500 0.000
Gd3 Gd 0.000 0.000 0.000
Gd4 Gd 0.500 0.000 0.500
Fe1 Fe 0.500 0.500 0.500
Fe2 Fe 0.500 0.000 0.000
Sb1 Sb 0.500 0.500 0.000
Sb2 Sb 0.000 0.500 0.500
O1 O 0.412 0.162 0.250
O2 O 0.828 0.578 0.250
O3 O 0.412 0.577 0.240
O4 O 0.837 0.172 0.260
O5 O 0.412 0.172 0.835
O6 O 0.837 0.577 0.665
O7 O 0.588 0.838 0.750
O8 O 0.172 0.422 0.750
O9 O 0.588 0.423 0.760
O10 O 0.163 0.828 0.740
O11 O 0.588 0.828 0.165
O12 O 0.163 0.423 0.335
O13 O 0.123 0.873 0.250
O14 O 0.877 0.127 0.750